# 1
This record from Alexandria via LeMat-Bulk describes crystalline Ga2GeRh at its relaxed geometry. The functional is PBE.

Properties
Energy relative to the elements ... -32 kJ per mole of atoms
M_tot ... 0.00 μB per cell
Uncorrected energy ... -4.834 eV/atom

a = 3.4460 Å, b = 4.7502 Å, c = 8.6488 Å
α = 90.00°, β = 90.00°, γ = 111.45°
Fractional coordinates of all 8 atoms:
Rh1 0.7283 0.4499 0.2500
Ge1 0.5592 0.1273 0.7500
Ga1 0.1373 0.2730 0.0382
Ga2 0.8627 0.7270 0.9618
Ga3 0.1373 0.2730 0.4618
Rh2 0.2717 0.5501 0.7500
Ge2 0.4408 0.8727 0.2500
Ga4 0.8627 0.7270 0.5382

# 2
This record from Alexandria via LeMat-Bulk describes crystalline Tb10Pm4Y at its relaxed geometry. The functional is PBE.

Properties
Energy relative to the elements ... 41 kJ per mole of atoms
M_tot ... 0.00 μB per cell
Uncorrected energy ... -4.359 eV/atom

a = 11.5745 Å, b = 9.0143 Å, c = 9.0143 Å
α = 65.66°, β = 50.06°, γ = 50.06°
Fractional coordinates of all 15 atoms:
Tb1 0.3902 0.8900 0.6532
Tb2 0.2801 0.6532 0.1100
Tb3 0.0433 0.3468 0.8900
Tb4 0.0667 0.8900 0.6532
Pm1 0.8253 0.7450 0.6045
Tb5 0.2500 0.5000 0.5000
Tb6 0.7500 0.5000 0.5000
Y1 0.0000 0.0000 0.0000
Tb7 0.7199 0.3468 0.8900
Tb8 0.9333 0.1100 0.3468
Pm2 0.4298 0.3955 0.7450
Tb9 0.9567 0.6532 0.1100
Pm3 0.5702 0.6045 0.2550
Pm4 0.1747 0.2550 0.3955
Tb10 0.6098 0.1100 0.3468

# 3
This record from Alexandria via LeMat-Bulk describes crystalline Pm6Ga2Sn3 at its relaxed geometry. The functional is PBE.

Properties
Energy relative to the elements ... -31 kJ per mole of atoms
M_tot ... 0.00 μB per cell
Uncorrected energy ... -4.550 eV/atom

a = 5.7262 Å, b = 5.7262 Å, c = 11.4884 Å
α = 104.43°, β = 104.43°, γ = 90.00°
Fractional coordinates of all 11 atoms:
Ga1 0.5598 0.5598 0.1195
Pm1 0.0818 0.5818 0.1636
Sn1 0.8414 0.8414 0.6828
Pm2 0.3056 0.3056 0.6111
Pm3 0.6944 0.6944 0.3889
Pm4 0.4182 0.9182 0.8364
Pm5 0.9182 0.4182 0.8364
Sn2 0.0000 0.0000 0.0000
Sn3 0.1586 0.1586 0.3172
Pm6 0.5818 0.0818 0.1636
Ga2 0.4402 0.4402 0.8805

# 4
This record from Alexandria via LeMat-Bulk describes crystalline CaNbCr2Cd at its relaxed geometry. The functional is PBE.

Properties
Energy relative to the elements ... 190 kJ per mole of atoms
M_tot ... 1.70 μB per cell
Uncorrected energy ... -4.473 eV/atom

a = 4.8748 Å, b = 5.1420 Å, c = 4.8748 Å
α = 90.00°, β = 90.00°, γ = 90.00°
Fractional coordinates of all 5 atoms:
Cr1 0.5000 0.0000 0.0000
Cr2 0.0000 0.0000 0.5000
Cd1 0.0000 0.0000 0.0000
Nb1 0.0000 0.5000 0.0000
Ca1 0.5000 0.5000 0.5000

# 5
This record from Alexandria via LeMat-Bulk describes crystalline Cs4MgI5 at its relaxed geometry. The functional is PBE.

Properties
M_tot ... 1.00 μB per cell
E_form (uncorrected) ... -1221 kJ/mol of formula units
Uncorrected energy ... -2.541 eV/atom

a = 7.8376 Å, b = 9.3080 Å, c = 9.3080 Å
α = 79.79°, β = 65.10°, γ = 65.10°
Fractional coordinates of all 10 atoms:
I1 0.7364 0.1849 0.3650
I2 0.1014 0.6350 0.1849
Cs1 0.6070 0.6103 0.2033
Cs2 0.2172 0.2033 0.3897
I3 0.9212 0.3650 0.8151
I4 0.2862 0.8151 0.6350
Cs3 0.4206 0.3897 0.7967
Mg1 0.0202 0.0000 0.0000
I5 0.3898 0.0000 0.0000
Cs4 0.8103 0.7967 0.6103

# 6
This record from Alexandria via LeMat-Bulk describes crystalline AcPr12Y7 at its relaxed geometry. The functional is PBE.

Properties
Energy relative to the elements ... 62 kJ per mole of atoms
E above lowest polymorph ... 448 meV/atom
M_tot ... 0.00 μB per cell
Uncorrected energy ... -4.691 eV/atom

a = 10.2133 Å, b = 10.2133 Å, c = 10.2133 Å
α = 109.47°, β = 109.47°, γ = 109.47°
Fractional coordinates of all 20 atoms:
Y1 0.0000 0.5000 0.5000
Pr1 0.0001 0.7271 0.2731
Pr2 0.2729 0.7269 0.9998
Y2 0.0000 0.0000 0.5000
Y3 0.5000 0.5000 0.0000
Pr3 0.2731 0.0001 0.7271
Y4 0.5000 0.0000 0.0000
Ac1 0.0000 0.0000 0.0000
Pr4 0.7271 0.7269 0.4540
Y5 0.0000 0.5000 0.0000
Pr5 0.5460 0.2729 0.2731
Pr6 0.4540 0.7271 0.7269
Pr7 0.7269 0.4540 0.7271
Pr8 0.7271 0.2731 0.0001
Y6 0.5000 0.0000 0.5000
Pr9 0.2731 0.5460 0.2729
Pr10 0.7269 0.9998 0.2729
Pr11 0.9998 0.2729 0.7269
Y7 0.5000 0.5000 0.5000
Pr12 0.2729 0.2731 0.5460

# 7
This record from Alexandria via LeMat-Bulk describes crystalline LaAgPt2 at its relaxed geometry. The functional is PBE.

Properties
Energy relative to the elements ... -32 kJ per mole of atoms
M_tot ... 0.00 μB per cell
Uncorrected energy ... -5.302 eV/atom

a = 4.3923 Å, b = 4.3923 Å, c = 9.8490 Å
α = 77.12°, β = 77.12°, γ = 90.00°
Fractional coordinates of all 8 atoms:
La1 0.7500 0.2500 0.5000
Ag1 0.2500 0.7500 0.5000
Pt1 0.3750 0.4301 0.7500
Pt2 0.1801 0.6250 0.2500
Pt3 0.5699 0.1250 0.2500
Pt4 0.8750 0.8199 0.7500
Ag2 0.5000 0.5000 0.0000
La2 0.0000 0.0000 0.0000

# 8
This record from Alexandria via LeMat-Bulk describes crystalline Te2IrSe at its relaxed geometry. The functional is PBE.

Properties
M_tot ... 0.00 μB per cell
E_form (uncorrected) ... 128 kJ/mol of formula units
Uncorrected energy ... -4.325 eV/atom

a = 3.1668 Å, b = 3.1668 Å, c = 9.3624 Å
α = 90.00°, β = 90.00°, γ = 90.00°
Fractional coordinates of all 4 atoms:
Te1 0.0000 0.0000 0.4390
Se1 0.5000 0.5000 0.7500
Te2 0.0000 0.0000 0.0610
Ir1 0.5000 0.5000 0.2500

# 9
This record from Alexandria via LeMat-Bulk describes crystalline Pm8ZnGe3Te4 at its relaxed geometry. The functional is PBE.

Properties
M_tot ... 0.00 μB per cell
E_form (uncorrected) ... -1703 kJ/mol of formula units
Uncorrected energy ... -5.209 eV/atom

a = 8.6737 Å, b = 8.8492 Å, c = 8.6739 Å
α = 119.35°, β = 120.00°, γ = 90.00°
Fractional coordinates of all 16 atoms:
Pm1 0.7520 0.2682 0.5040
Pm2 0.2594 0.2781 0.5188
Te1 0.0000 0.0000 0.5000
Zn1 0.0000 0.5000 0.0000
Pm3 0.2480 0.7318 0.9838
Ge1 0.5000 0.5000 0.5000
Te2 0.5000 0.0000 0.5000
Te3 0.5000 0.0000 0.0000
Pm4 0.7358 0.7318 0.9838
Pm5 0.7520 0.2682 0.0162
Pm6 0.2480 0.7318 0.4960
Ge2 0.0000 0.5000 0.5000
Ge3 0.5000 0.5000 0.0000
Pm7 0.7406 0.7219 0.4812
Pm8 0.2642 0.2682 0.0162
Te4 0.0000 0.0000 0.0000

# 10
This record from Alexandria via LeMat-Bulk describes crystalline Ho2LuN at its relaxed geometry. The functional is PBE.

Properties
E above lowest polymorph ... 0 meV/atom
M_tot ... 0.94 μB per cell
E_form (uncorrected) ... -259 kJ/mol of formula units
Uncorrected energy ... -6.172 eV/atom

a = 3.4265 Å, b = 3.4265 Å, c = 9.4824 Å
α = 79.59°, β = 79.59°, γ = 60.00°
Fractional coordinates of all 4 atoms:
Ho1 0.1191 0.1191 0.6426
Ho2 0.8809 0.8809 0.3574
Lu1 0.0000 0.0000 0.0000
N1 0.5000 0.5000 0.5000

# 11
This record from Alexandria via LeMat-Bulk describes crystalline SrU3Pd4S12 at its relaxed geometry. The functional is PBE.

Properties
M_tot ... 0.00 μB per cell
E_form (uncorrected) ... -1468 kJ/mol of formula units
Uncorrected energy ... -6.053 eV/atom

a = 8.4135 Å, b = 8.4135 Å, c = 8.4135 Å
α = 105.45°, β = 105.45°, γ = 105.45°
Fractional coordinates of all 20 atoms:
S1 0.3313 0.9830 0.2498
U1 0.0000 0.5678 0.4322
S2 0.5000 0.3314 0.6686
S3 0.6686 0.5000 0.3314
Pd1 0.5000 0.5000 0.5000
S4 0.2498 0.3313 0.9830
S5 0.7502 0.0170 0.6687
U2 0.5678 0.4322 0.0000
S6 0.9830 0.2498 0.3313
S7 0.5000 0.0871 0.9129
S8 0.0170 0.6687 0.7502
S9 0.6687 0.7502 0.0170
Sr1 0.0000 0.0000 0.0000
U3 0.4322 0.0000 0.5678
S10 0.0871 0.9129 0.5000
S11 0.9129 0.5000 0.0871
Pd2 0.9118 0.0882 0.5000
Pd3 0.0882 0.5000 0.9118
Pd4 0.5000 0.9118 0.0882
S12 0.3314 0.6686 0.5000

# 12
This record from Alexandria via LeMat-Bulk describes crystalline K3ZrSc2Se6 at its relaxed geometry. The functional is PBE.

Properties
M_tot ... 0.00 μB per cell
E_form (uncorrected) ... -1755 kJ/mol of formula units
Uncorrected energy ... -5.300 eV/atom

a = 6.8939 Å, b = 6.8939 Å, c = 8.0151 Å
α = 98.24°, β = 98.24°, γ = 120.00°
Fractional coordinates of all 12 atoms:
Se1 0.2664 0.2664 0.8008
Sc1 0.3334 0.6666 0.0000
K1 0.8330 0.1670 0.5000
Se2 0.0663 0.3991 0.1990
K2 0.5000 0.5000 0.5000
Se3 0.3991 0.0663 0.1990
Se4 0.7336 0.7336 0.1992
Sc2 0.6666 0.3334 0.0000
K3 0.1670 0.8330 0.5000
Se5 0.6009 0.9337 0.8010
Se6 0.9337 0.6009 0.8010
Zr1 0.0000 0.0000 0.0000

# 13
This record from Alexandria via LeMat-Bulk describes crystalline HfAs2PtBr at its relaxed geometry. The functional is PBE.

Properties
M_tot ... 0.00 μB per cell
E_form (uncorrected) ... 260 kJ/mol of formula units
Uncorrected energy ... -4.854 eV/atom

a = 4.8811 Å, b = 4.8811 Å, c = 4.9841 Å
α = 90.00°, β = 90.00°, γ = 90.00°
Fractional coordinates of all 5 atoms:
Br1 0.0000 0.0000 0.5000
Hf1 0.5000 0.5000 0.5000
As1 0.0000 0.5000 0.0000
Pt1 0.0000 0.0000 0.0000
As2 0.5000 0.0000 0.0000

# 14
This record from Alexandria via LeMat-Bulk describes crystalline AlCu2Ni at its relaxed geometry. The functional is PBE.

Properties
Energy relative to the elements ... -2 kJ per mole of atoms
M_tot ... 0.00 μB per cell
Uncorrected energy ... -4.446 eV/atom

a = 2.6407 Å, b = 2.6407 Å, c = 8.2308 Å
α = 90.00°, β = 90.00°, γ = 120.00°
Fractional coordinates of all 4 atoms:
Al1 0.0000 0.0000 0.5000
Ni1 0.0000 0.0000 0.0000
Cu1 0.6667 0.3333 0.7545
Cu2 0.3333 0.6667 0.2455

# 15
This record from Alexandria via LeMat-Bulk describes crystalline SmDy3Hg2 at its relaxed geometry. The functional is PBE.

Properties
Energy relative to the elements ... -30 kJ per mole of atoms
E above lowest polymorph ... 44 meV/atom
M_tot ... 0.00 μB per cell
Uncorrected energy ... -3.498 eV/atom

a = 3.6855 Å, b = 3.6855 Å, c = 12.4458 Å
α = 90.00°, β = 90.00°, γ = 90.00°
Fractional coordinates of all 6 atoms:
Dy1 0.0000 0.0000 0.3012
Hg1 0.5000 0.5000 0.8483
Dy2 0.0000 0.0000 0.0000
Hg2 0.5000 0.5000 0.1517
Dy3 0.0000 0.0000 0.6988
Sm1 0.5000 0.5000 0.5000

# 16
This record from Alexandria via LeMat-Bulk describes crystalline Ca2ReSi at its relaxed geometry. The functional is PBE.

Properties
M_tot ... 0.00 μB per cell
E_form (uncorrected) ... 286 kJ/mol of formula units
Uncorrected energy ... -4.728 eV/atom

a = 8.1173 Å, b = 8.1173 Å, c = 6.2996 Å
α = 49.89°, β = 49.89°, γ = 90.00°
Fractional coordinates of all 8 atoms:
Si1 0.2500 0.7500 0.5000
Re1 0.0000 0.0000 0.0000
Ca1 0.3750 0.3942 0.7500
Ca2 0.8750 0.8558 0.7500
Si2 0.5000 0.5000 0.0000
Ca3 0.1442 0.6250 0.2500
Re2 0.7500 0.2500 0.5000
Ca4 0.6058 0.1250 0.2500

# 17
This record from Alexandria via LeMat-Bulk describes crystalline Cs2Cd4Pt at its relaxed geometry. The functional is PBE.

Properties
Energy relative to the elements ... -15 kJ per mole of atoms
E above lowest polymorph ... 0 meV/atom
M_tot ... 0.00 μB per cell
Uncorrected energy ... -1.786 eV/atom

a = 5.4118 Å, b = 5.4118 Å, c = 10.5481 Å
α = 75.14°, β = 75.14°, γ = 90.00°
Fractional coordinates of all 7 atoms:
Cs1 0.3446 0.3446 0.3109
Cd1 0.0000 0.5000 0.0000
Pt1 0.0000 0.0000 0.0000
Cd2 0.8643 0.8643 0.2714
Cs2 0.6554 0.6554 0.6891
Cd3 0.1357 0.1357 0.7286
Cd4 0.5000 0.0000 0.0000

# 18
This record from Alexandria via LeMat-Bulk describes crystalline TiV6Tc5 at its relaxed geometry. The functional is PBE.

Properties
Energy relative to the elements ... -33 kJ per mole of atoms
M_tot ... 0.00 μB per cell
Uncorrected energy ... -9.875 eV/atom

a = 4.3011 Å, b = 6.0618 Å, c = 6.7775 Å
α = 90.00°, β = 108.49°, γ = 90.00°
Fractional coordinates of all 12 atoms:
Tc1 0.6652 0.0000 0.3303
V1 0.8315 0.7482 0.6630
Tc2 0.0000 0.5000 0.0000
V2 0.8315 0.2517 0.6630
Tc3 0.3323 0.5000 0.6649
V3 0.5000 0.2526 0.0000
V4 0.5000 0.7474 0.0000
Tc4 0.3348 0.0000 0.6697
Tc5 0.6677 0.5000 0.3351
V5 0.1685 0.7483 0.3370
Ti1 0.0000 0.0000 0.0000
V6 0.1685 0.2518 0.3370

# 19
This record from Alexandria via LeMat-Bulk describes crystalline Sr2CuHg at its relaxed geometry. The functional is PBE.

Properties
Energy relative to the elements ... 2 kJ per mole of atoms
E above lowest polymorph ... 298 meV/atom
M_tot ... 0.00 μB per cell
Uncorrected energy ... -1.924 eV/atom

a = 5.3282 Å, b = 5.3282 Å, c = 5.3282 Å
α = 60.00°, β = 60.00°, γ = 60.00°
Fractional coordinates of all 4 atoms:
Hg1 0.2500 0.2500 0.2500
Cu1 0.5000 0.5000 0.5000
Sr1 0.0000 0.0000 0.0000
Sr2 0.7500 0.7500 0.7500

# 20
This record from Alexandria via LeMat-Bulk describes crystalline Ac2CoNi at its relaxed geometry. The functional is PBE.

Properties
Energy relative to the elements ... 5 kJ per mole of atoms
M_tot ... 0.00 μB per cell
Uncorrected energy ... -5.229 eV/atom

a = 3.6636 Å, b = 5.1610 Å, c = 5.1610 Å
α = 90.00°, β = 90.00°, γ = 90.00°
Fractional coordinates of all 4 atoms:
Ac1 0.0000 0.5000 0.0000
Co1 0.5000 0.0000 0.0000
Ni1 0.5000 0.5000 0.5000
Ac2 0.0000 0.0000 0.5000